No. 1
First-principles (PBE) data for crystalline PmSm4In at its relaxed geometry, as listed in the Alexandria database.

Calculated values
Distance to the lowest polymorph of the same formula ... 0 meV/atom
Energy of formation ... -0.1427 eV/atom
M_tot ... 0.0 μB/f.u.

Cell lengths 3.638, 3.638, 14.605 Å; angles 90.00, 90.00, 90.00 degrees
Fractional positions:
Pm: 0.000 0.000 0.000
Sm: 0.500 0.500 0.177
Sm: 0.000 0.000 0.645
Sm: 0.000 0.000 0.355
Sm: 0.500 0.500 0.823
In: 0.500 0.500 0.500

No. 2
First-principles (PBE) data for crystalline HRuCN at its relaxed geometry, as listed in the Alexandria database.

Calculated values
Distance to the lowest polymorph of the same formula ... 141 meV/atom
M_tot ... 0.0 μB/f.u.

Cell lengths 3.902, 2.732, 7.127 Å; angles 90.00, 118.08, 90.00 degrees
Fractional positions:
H: 0.121 0.000 0.614
H: 0.121 0.500 0.114
Ru: 0.591 0.000 0.423
Ru: 0.591 0.500 0.923
C: 0.131 0.000 0.782
C: 0.131 0.500 0.282
N: 0.759 0.000 0.759
N: 0.759 0.500 0.259

No. 3
First-principles (PBE) data for crystalline Ta2NbCu2 at its relaxed geometry, as listed in the Alexandria database.

Calculated values
Distance to the lowest polymorph of the same formula ... 240 meV/atom
Energy of formation ... 0.4300 eV/atom
M_tot ... 0.0 μB/f.u.

Cell lengths 3.838, 3.838, 6.310 Å; angles 72.29, 72.29, 90.00 degrees
Fractional positions:
Nb: 0.000 0.000 0.000
Cu: 0.404 0.404 0.193
Cu: 0.596 0.596 0.807
Ta: 0.750 0.250 0.500
Ta: 0.250 0.750 0.500

No. 4
First-principles (PBE) data for crystalline Sr2Sn5Ir3 at its relaxed geometry, as listed in the Alexandria database.

Calculated values
Distance to the lowest polymorph of the same formula ... 20 meV/atom
Energy of formation ... -0.4521 eV/atom
M_tot ... 0.0 μB/f.u.

Cell lengths 4.542, 7.399, 13.767 Å; angles 90.00, 99.49, 90.00 degrees
Fractional positions:
Sr: 0.478 0.754 0.957
Sr: 0.175 0.730 0.350
Sr: 0.825 0.230 0.650
Sr: 0.522 0.254 0.043
Sn: 0.402 0.384 0.803
Sn: 0.290 0.517 0.580
Sn: 0.710 0.017 0.420
Sn: 0.123 0.255 0.246
Sn: 0.294 0.935 0.588
Sn: 0.949 0.087 0.899
Sn: 0.706 0.435 0.412
Sn: 0.877 0.755 0.754
Sn: 0.051 0.587 0.101
Sn: 0.598 0.884 0.197
Ir: 0.776 0.725 0.552
Ir: 0.607 0.510 0.214
Ir: 0.052 0.966 0.104
Ir: 0.224 0.225 0.448
Ir: 0.948 0.466 0.896
Ir: 0.393 0.010 0.786

No. 5
First-principles (PBE) data for crystalline CaNiW2 at its relaxed geometry, as listed in the Alexandria database.

Calculated values
Distance to the lowest polymorph of the same formula ... 834 meV/atom
Energy of formation ... 1.2710 eV/atom
M_tot ... 0.0 μB/f.u.

Cell lengths 4.768, 4.768, 9.223 Å; angles 75.02, 75.02, 90.00 degrees
Fractional positions:
Ni: 0.000 0.000 0.000
Ni: 0.750 0.250 0.500
Ca: 0.500 0.500 0.000
Ca: 0.250 0.750 0.500
W: 0.854 0.125 0.250
W: 0.896 0.625 0.250
W: 0.375 0.146 0.750
W: 0.875 0.104 0.750

No. 6
First-principles (PBE) data for crystalline KScSi4 at its relaxed geometry, as listed in the Alexandria database.

Calculated values
M_tot ... 0.0 μB/f.u.
Energy relative to the elements, uncorrected ... 0.103 eV per atom

Cell lengths 5.305, 5.305, 5.305 Å; angles 60.00, 60.00, 60.00 degrees
Fractional positions:
K: 0.750 0.750 0.750
Sc: 0.000 0.000 0.000
Si: 0.880 0.373 0.373
Si: 0.373 0.373 0.880
Si: 0.373 0.880 0.373
Si: 0.373 0.373 0.373